NaSrCoRe2 | PBE-GGA | optimized geometry

Lattice parameters (Å, degrees): 4.8473 4.8473 4.5783 90.00 90.00 90.00
With the nearest neighbours (Å) after each atom.
Element x y z (fractional)
Na1 0.0000 0.0000 0.0000  2 Co 2.29, 4 Re 2.42
Sr1 0.5000 0.5000 0.5000  8 Re 3.33, 4 Co 3.43
Co1 0.0000 0.0000 0.5000  2 Na 2.29
Re1 0.0000 0.5000 0.0000  2 Na 2.42
Re2 0.5000 0.0000 0.0000  2 Na 2.42

* size of the total moment: 4.21 μB per formula unit
* E_tot: -4.516 eV per atom


ZrNb3Hg | PBE-GGA | optimized geometry

Lattice parameters (Å, degrees): 5.0408 5.0408 5.0408 90.00 90.00 90.00
With the nearest neighbours (Å) after each atom.
Element x y z (fractional)
Zr1 0.0000 0.0000 0.0000  12 Nb 3.56
Nb1 0.0000 0.5000 0.5000  2 Hg 2.52
Nb2 0.5000 0.0000 0.5000  2 Hg 2.52
Nb3 0.5000 0.5000 0.0000  2 Hg 2.52
Hg1 0.5000 0.5000 0.5000  6 Nb 2.52

* size of the total moment: 0.00 μB per formula unit
* energy relative to the lowest polymorph listed for this composition: 0.992 eV per formula unit
* E_tot: -6.066 eV per atom


Pd7Au5 | PBE-GGA | optimized geometry

Lattice parameters (Å, degrees): 4.9847 4.9847 9.9813 104.81 104.81 57.17
With the nearest neighbours (Å) after each atom.
Element x y z (fractional)
Pd1 0.0000 0.0000 0.0000  8 Au 2.79-2.92, 2 Pd 2.81
Pd2 0.0816 0.0816 0.7478  6 Pd 2.77-2.93, 4 Au 2.81-2.88
Pd3 0.1667 0.1667 0.5018  6 Pd 2.77-2.91, 4 Au 2.79-2.92
Pd4 0.4169 0.4169 0.7488  4 Pd 2.78-2.93, 6 Au 2.78-2.94
Pd5 0.5831 0.5831 0.2512  4 Pd 2.78-2.93, 6 Au 2.78-2.94
Pd6 0.8333 0.8333 0.4982  6 Pd 2.77-2.91, 4 Au 2.79-2.92
Pd7 0.9184 0.9184 0.2522  6 Pd 2.77-2.93, 4 Au 2.81-2.88
Au1 0.2477 0.2477 0.2516  8 Pd 2.79-2.94, 2 Au 2.80-2.83
Au2 0.3337 0.3337 0.9990  6 Pd 2.79-2.92, 4 Au 2.80-2.90
Au3 0.5000 0.5000 0.5000  8 Pd 2.78-2.92, 2 Au 2.80
Au4 0.6663 0.6663 0.0010  6 Pd 2.79-2.92, 4 Au 2.80-2.90
Au5 0.7523 0.7523 0.7484  8 Pd 2.79-2.94, 2 Au 2.80-2.83

* size of the total moment: 0.00 μB per formula unit
* energy relative to the lowest polymorph listed for this composition: 0.342 eV per formula unit
* E_tot: -4.408 eV per atom


Nd3Be2Pd5 | PBE-GGA | optimized geometry

Lattice parameters (Å, degrees): 10.2420 10.2420 3.5809 90.00 90.00 90.00
With the nearest neighbours (Å) after each atom.
Element x y z (fractional)
Nd1 0.0000 0.0000 0.0000  8 Pd 3.06
Nd2 0.1786 0.3214 0.0000  3 Be 3.00-3.07, 10 Pd 3.15-3.24
Nd3 0.3214 0.8214 0.0000  3 Be 3.00-3.07, 10 Pd 3.15-3.24
Nd4 0.5000 0.5000 0.0000  8 Pd 3.06
Nd5 0.6786 0.1786 0.0000  3 Be 3.00-3.07, 10 Pd 3.15-3.24
Nd6 0.8214 0.6786 0.0000  3 Be 3.00-3.07, 10 Pd 3.15-3.24
Be1 0.1142 0.6142 0.0000  6 Pd 2.43-2.44
Be2 0.3858 0.1142 0.0000  6 Pd 2.43-2.44
Be3 0.6142 0.8858 0.0000  6 Pd 2.43-2.44
Be4 0.8858 0.3858 0.0000  6 Pd 2.43-2.44
Pd1 0.0000 0.5000 0.5000  4 Be 2.44
Pd2 0.0698 0.7677 0.5000  2 Be 2.43
Pd3 0.2323 0.0698 0.5000  2 Be 2.43
Pd4 0.2677 0.5698 0.5000  2 Be 2.43
Pd5 0.4302 0.2677 0.5000  2 Be 2.43
Pd6 0.5000 0.0000 0.5000  4 Be 2.44
Pd7 0.5698 0.7323 0.5000  2 Be 2.43
Pd8 0.7323 0.4302 0.5000  2 Be 2.43
Pd9 0.7677 0.9302 0.5000  2 Be 2.43
Pd10 0.9302 0.2323 0.5000  2 Be 2.43

* size of the total moment: 0.00 μB per formula unit
* E_tot: -5.447 eV per atom


BaPuH6Pt2 | PBE-GGA | optimized geometry

Lattice parameters (Å, degrees): 6.5619 6.5619 6.8279 104.05 104.05 103.28
With the nearest neighbours (Å) after each atom.
Element x y z (fractional)
Ba1 0.1506 0.8494 0.7500  10 H 2.68-2.93
Ba2 0.8494 0.1506 0.2500  10 H 2.68-2.93
Pu1 0.4178 0.5822 0.2500  8 H 2.38-2.45
Pu2 0.5822 0.4178 0.7500  8 H 2.38-2.45
H1 0.0978 0.5758 0.3674  1 Pt 1.68
H2 0.1524 0.2316 0.0054  1 Pt 1.67
H3 0.2316 0.1524 0.5054  1 Pt 1.67
H4 0.2935 0.5182 0.8756  1 Pt 1.73
H5 0.4242 0.9022 0.1326  1 Pt 1.68
H6 0.4818 0.7065 0.6244  1 Pt 1.73
H7 0.5182 0.2935 0.3756  1 Pt 1.73
H8 0.5758 0.0978 0.8674  1 Pt 1.68
H9 0.7065 0.4818 0.1244  1 Pt 1.73
H10 0.7684 0.8476 0.4946  1 Pt 1.67
H11 0.8476 0.7684 0.9946  1 Pt 1.67
H12 0.9022 0.4242 0.6326  1 Pt 1.68
Pt1 0.0364 0.3309 0.8181  3 H 1.67-1.73
Pt2 0.3309 0.0364 0.3181  3 H 1.67-1.73
Pt3 0.6691 0.9636 0.6819  3 H 1.67-1.73
Pt4 0.9636 0.6691 0.1819  3 H 1.67-1.73

* size of the total moment: 5.98 μB per formula unit
* E_tot: -5.311 eV per atom


Tm5Si6 | PBE-GGA | optimized geometry

Lattice parameters (Å, degrees): 14.0421 14.0421 4.1662 90.00 90.00 164.41
With the nearest neighbours (Å) after each atom.
Element x y z (fractional)
Tm1 0.0000 0.0000 0.0000  12 Si 3.05-3.36
Tm2 0.1973 0.8027 0.5000  7 Si 2.85-3.08
Tm3 0.3853 0.6147 0.0000  7 Si 2.88-2.97
Tm4 0.6147 0.3853 0.0000  7 Si 2.88-2.97
Tm5 0.8027 0.1973 0.5000  7 Si 2.85-3.08
Si1 0.0947 0.9053 0.5000  2 Si 2.41
Si2 0.2787 0.7213 0.0000  2 Si 2.49
Si3 0.4585 0.5415 0.5000  3 Si 2.31-2.41
Si4 0.5415 0.4585 0.5000  3 Si 2.31-2.41
Si5 0.7213 0.2787 0.0000  2 Si 2.49
Si6 0.9053 0.0947 0.5000  2 Si 2.41

* size of the total moment: 0.00 μB per formula unit
* E_tot: -5.738 eV per atom
* formation energy (no corrections): -0.748 eV/atom